P.
Zr3Sc: optimized geometry, PBE-GGA.

The structure in POSCAR format:
```
Zr3Sc
1.0
6.487 0.000 0.000
-3.243 5.618 0.000
0.000 0.000 5.139
Zr Sc
6 2
direct
0.167 0.335 0.250
0.167 0.833 0.250
0.335 0.167 0.750
0.665 0.833 0.250
0.833 0.167 0.750
0.833 0.665 0.750
0.333 0.667 0.750
0.667 0.333 0.250
```

Properties
As for the volume: 23.41 Å³ per atom. The crystal system is hexagonal. The space group is No. 194.

***

Q.
Zr3Sc: optimized geometry, PBE-GGA.

The structure in POSCAR format:
```
Zr3Sc
1.0
5.592 0.000 0.000
0.000 10.314 0.000
0.000 0.000 6.486
Zr Sc
12 4
direct
0.078 0.250 0.131
0.250 0.002 0.878
0.250 0.498 0.878
0.250 0.502 0.378
0.250 0.998 0.378
0.422 0.750 0.631
0.578 0.250 0.369
0.750 0.002 0.622
0.750 0.498 0.622
0.750 0.502 0.122
0.750 0.998 0.122
0.922 0.750 0.869
0.089 0.250 0.624
0.411 0.750 0.124
0.589 0.250 0.876
0.911 0.750 0.376
```

Properties
As for the volume: 23.38 Å³ per atom. The crystal system is orthorhombic. The space group is No. 62.

***

R.
Zr3Sc: optimized geometry, PBE-GGA.

The structure in POSCAR format:
```
Zr3Sc
1.0
-1.620 5.137 2.818
1.620 -5.137 2.818
1.620 5.137 -2.818
Zr Sc
3 1
direct
0.000 0.000 0.000
0.418 0.668 0.750
0.917 0.668 0.250
0.497 0.997 0.500
```

Properties
As for the volume: 23.46 Å³ per atom. The crystal system is orthorhombic. The space group is No. 44.

***

Most favorable first, least favorable last: P, R, Q

***

P.
Zr13Sc3: optimized geometry, PBE-GGA.

The structure in POSCAR format:
```
Zr13Sc3
1.0
8.988 0.000 0.000
0.000 4.553 4.544
0.000 -4.553 4.544
Zr Sc
13 3
direct
0.000 0.000 0.000
0.000 0.000 0.497
0.000 0.497 0.000
0.000 0.498 0.498
0.249 0.250 0.747
0.249 0.747 0.250
0.249 0.750 0.750
0.500 0.502 0.502
0.500 0.505 0.996
0.500 0.996 0.505
0.751 0.250 0.747
0.751 0.747 0.250
0.751 0.750 0.750
0.249 0.250 0.250
0.500 0.996 0.996
0.751 0.250 0.250
```

Properties
As for the volume: 23.25 Å³ per atom. The crystal system is orthorhombic. The space group is No. 38.

***

Q.
Zr13Sc3: optimized geometry, PBE-GGA.

The structure in POSCAR format:
```
Zr13Sc3
1.0
6.486 0.000 0.000
0.000 5.141 5.619
0.000 -5.141 5.619
Zr Sc
13 3
direct
0.000 0.000 0.000
0.000 0.414 0.912
0.000 0.496 0.496
0.000 0.912 0.414
0.249 0.164 0.664
0.249 0.664 0.164
0.250 0.247 0.247
0.500 0.414 0.913
0.500 0.496 0.496
0.500 0.913 0.414
0.750 0.247 0.247
0.751 0.164 0.664
0.751 0.664 0.164
0.250 0.748 0.748
0.500 0.998 0.998
0.750 0.748 0.748
```

Properties
As for the volume: 23.42 Å³ per atom. The crystal system is orthorhombic. The space group is No. 38.

***

Most favorable first, least favorable last: Q, P

***

P.
Zr3Sc5: optimized geometry, PBE-GGA.

The structure in POSCAR format:
```
Zr3Sc5
1.0
4.552 -4.571 0.000
4.552 4.571 0.000
0.000 0.000 4.535
Zr Sc
3 5
direct
0.000 0.000 0.000
0.242 0.242 0.500
0.758 0.758 0.500
0.000 0.500 0.000
0.248 0.752 0.500
0.500 0.000 0.000
0.500 0.500 0.000
0.752 0.248 0.500
```

Properties
As for the volume: 23.59 Å³ per atom. The crystal system is orthorhombic. The space group is No. 65.

***

Q.
Zr3Sc5: optimized geometry, PBE-GGA.

The structure in POSCAR format:
```
Zr3Sc5
1.0
3.258 0.000 0.000
0.000 5.162 0.000
0.000 0.000 11.402
Zr Sc
3 5
direct
0.000 0.000 0.000
0.000 0.500 0.163
0.500 0.000 0.241
0.000 0.000 0.494
0.000 0.500 0.661
0.500 0.000 0.752
0.500 0.500 0.405
0.500 0.500 0.915
```

Properties
As for the volume: 23.97 Å³ per atom. The crystal system is orthorhombic. The space group is No. 25.

***

Most favorable first, least favorable last: Q, P

***

P.
Zr7Sc: optimized geometry, PBE-GGA.

The structure in POSCAR format:
```
Zr7Sc
1.0
0.000 4.530 4.530
4.530 0.000 4.530
4.530 4.530 0.000
Zr Sc
7 1
direct
0.000 0.000 0.000
0.000 0.000 0.500
0.000 0.500 0.000
0.000 0.500 0.500
0.500 0.000 0.000
0.500 0.000 0.500
0.500 0.500 0.000
0.500 0.500 0.500
```

Properties
As for the volume: 23.24 Å³ per atom. The crystal system is cubic. The space group is No. 225.

***

Q.
Zr7Sc: optimized geometry, PBE-GGA.

The structure in POSCAR format:
```
Zr7Sc
1.0
-1.582 4.958 5.976
1.582 -4.958 5.976
1.582 4.958 -5.976
Zr Sc
7 1
direct
0.000 0.000 0.000
0.106 0.371 0.735
0.254 0.254 0.000
0.365 0.629 0.735
0.635 0.371 0.265
0.746 0.746 0.000
0.894 0.629 0.265
0.500 0.000 0.500
```

Properties
As for the volume: 23.44 Å³ per atom. The crystal system is orthorhombic. The space group is No. 71.

***

Most favorable first, least favorable last: Q, P